Material: Ca2YFe4SbO12
Method: DFT, PBE with a Hubbard U
State: optimized geometry

abc: 10.965 10.962 10.983
angles: 109.77 109.43 109.10
Atoms (fractional coordinates):
O 0.524 0.327 0.903
O 0.902 0.825 0.522
O 0.403 0.024 0.323
O 0.679 0.210 0.588
O 0.676 0.480 0.604
O 0.595 0.617 0.418
O 0.476 0.673 0.097
O 0.879 0.302 0.477
O 0.576 0.698 0.672
O 0.925 0.101 0.622
O 0.920 0.829 0.804
O 0.913 0.092 0.884
O 0.792 0.324 0.914
O 0.173 0.080 0.701
O 0.196 0.518 0.619
O 0.028 0.399 0.826
O 0.476 0.801 0.879
O 0.123 0.419 0.097
O 0.827 0.920 0.299
O 0.979 0.381 0.302
O 0.818 0.897 0.024
O 0.182 0.103 0.976
O 0.298 0.413 0.825
O 0.577 0.872 0.397
O 0.804 0.482 0.381
O 0.075 0.899 0.378
O 0.087 0.908 0.116
O 0.405 0.383 0.582
O 0.524 0.199 0.121
O 0.597 0.976 0.677
O 0.877 0.581 0.903
O 0.630 0.593 0.913
O 0.098 0.175 0.478
O 0.620 0.020 0.197
O 0.424 0.302 0.328
O 0.370 0.407 0.087
O 0.121 0.698 0.523
O 0.972 0.601 0.174
O 0.021 0.619 0.698
O 0.698 0.119 0.021
O 0.380 0.980 0.803
O 0.324 0.520 0.396
O 0.321 0.790 0.412
O 0.423 0.128 0.603
O 0.302 0.881 0.979
O 0.702 0.587 0.175
O 0.080 0.171 0.196
O 0.208 0.676 0.086
Y 0.125 0.255 0.887
Y 0.875 0.745 0.113
Y 0.369 0.629 0.244
Y 0.631 0.371 0.756
Ca 0.251 0.621 0.880
Ca 0.617 0.236 0.373
Ca 0.749 0.379 0.120
Ca 0.751 0.879 0.632
Ca 0.249 0.121 0.368
Ca 0.873 0.118 0.237
Ca 0.127 0.882 0.763
Ca 0.383 0.764 0.627
Fe 0.126 0.744 0.371
Fe 0.877 0.634 0.757
Fe 0.751 0.127 0.872
Fe 0.251 0.373 0.631
Fe 0.375 0.253 0.126
Fe 0.624 0.870 0.248
Fe 0.000 0.500 0.000
Fe 0.749 0.627 0.369
Fe 0.500 0.500 0.000
Fe 0.000 0.000 0.000
Fe 0.249 0.873 0.128
Fe 0.874 0.256 0.629
Fe 0.376 0.130 0.752
Fe 0.500 0.000 0.500
Fe 0.123 0.366 0.243
Fe 0.625 0.747 0.874
Sb 0.000 0.500 0.500
Sb 0.000 0.000 0.500
Sb 0.500 0.500 0.500
Sb 0.500 0.000 0.000

Calculated values
Electronic total energy   -552.15 eV/cell
Spin magnetization   70.00 μB per cell
Density   4.6 g cm⁻³
SG   P-1